P:
# MgSn3P

MgSn3P after structural relaxation (PBE, the Alexandria database).

```
MgSn3P
1.0
-5.2936 -0.0738 -0.3729
-0.2803 -2.7587 4.5251
-0.2568 4.5332 2.7478
P Mg Sn
1 1 3
Direct
0.5000 0.5000 0.5000
0.0000 0.0000 0.0000
0.0000 0.5000 0.0000
0.0000 0.0000 0.5000
0.5000 0.0000 0.0000
```

Calculated values
* space group: Pm-3m (221)
* M_tot: 0.0 μB per formula unit

=====

Q:
# MgSn3P

MgSn3P after structural relaxation (PBE, the Alexandria database).

```
MgSn3P
1.0
5.2852 0.0000 0.0000
0.0000 5.2852 0.0000
0.0000 0.0000 5.2852
P Mg Sn
1 1 3
Direct
0.0000 0.0000 0.0000
0.5000 0.5000 0.5000
0.0000 0.5000 0.0000
0.0000 0.0000 0.5000
0.5000 0.0000 0.0000
```

Calculated values
* space group: Pm-3m (221)
* M_tot: 0.0 μB per formula unit

=====

Q comes first in stability; the runner-up is 0.388 eV/atom higher.